No. 1
The following is a GGA-PBE calculation of an optimized crystal structure of TbPm2TmP4, from Alexandria.

Lattice parameters (Å, degrees): 4.0633 7.0335 7.0293 109.48 90.00 90.00
Atoms (fractional coordinates):
Tb: 0.0000 0.0000 0.0000
Pm: 0.5000 0.0000 0.5000
Pm: 0.0000 0.5000 0.5000
Tm: 0.5000 0.5000 0.0000
P: 0.5000 0.2496 0.2420
P: 0.5000 0.7504 0.7580
P: 0.0000 0.2554 0.7595
P: 0.0000 0.7446 0.2405

Properties
Calculated volume = 189.40 Å³/cell
Formation enthalpy at 0 K = -152.4 kJ/mol of atoms
Space-group type = P2/m, No. 10



No. 2
The following is a GGA-PBE calculation of an optimized crystal structure of TbPm2Y3P6, from Alexandria.

Lattice parameters (Å, degrees): 7.0261 7.0261 7.0246 99.59 99.59 119.99
Atoms (fractional coordinates):
Tb: 0.0000 0.0000 0.0000
Pm: 0.3336 0.6664 0.0000
Pm: 0.6664 0.3336 0.0000
Y: 0.1673 0.8327 0.5000
Y: 0.8327 0.1673 0.5000
Y: 0.5000 0.5000 0.5000
P: 0.9152 0.5852 0.7454
P: 0.7551 0.7551 0.2550
P: 0.0848 0.4148 0.2546
P: 0.5852 0.9152 0.7454
P: 0.2449 0.2449 0.7450
P: 0.4148 0.0848 0.2546

Properties
Calculated volume = 283.18 Å³/cell
Formation enthalpy at 0 K = -154.4 kJ/mol of atoms
Space-group type = C2/m, No. 12



No. 3
The following is a GGA-PBE calculation of an optimized crystal structure of TbPmY2P4, from Alexandria.

Lattice parameters (Å, degrees): 4.0495 7.0101 7.0083 109.47 90.00 90.00
Atoms (fractional coordinates):
Tb: 0.0000 0.0000 0.0000
Pm: 0.5000 0.5000 0.0000
Y: 0.5000 0.0000 0.5000
Y: 0.0000 0.5000 0.5000
P: 0.5000 0.2481 0.2526
P: 0.5000 0.7519 0.7474
P: 0.0000 0.2456 0.7452
P: 0.0000 0.7544 0.2548

Properties
Calculated volume = 187.57 Å³/cell
Formation enthalpy at 0 K = -154.9 kJ/mol of atoms
Space-group type = P2/m, No. 10



No. 4
The following is a GGA-PBE calculation of an optimized crystal structure of Tb2PmZrP4, from Alexandria.

Lattice parameters (Å, degrees): 3.9702 6.8867 6.8744 109.25 90.00 90.00
Atoms (fractional coordinates):
Tb: 0.5000 0.0000 0.5000
Tb: 0.0000 0.5000 0.5000
Pm: 0.5000 0.5000 0.0000
Zr: 0.0000 0.0000 0.0000
P: 0.5000 0.2360 0.2402
P: 0.5000 0.7640 0.7598
P: 0.0000 0.2390 0.7524
P: 0.0000 0.7610 0.2476

Properties
Calculated volume = 177.44 Å³/cell
Formation enthalpy at 0 K = -146.8 kJ/mol of atoms
Space-group type = P2/m, No. 10



No. 5
The following is a GGA-PBE calculation of an optimized crystal structure of TbPm2ZrP4, from Alexandria.

Lattice parameters (Å, degrees): 3.9916 6.9180 6.9303 109.25 90.00 90.00
Atoms (fractional coordinates):
Tb: 0.5000 0.5000 0.0000
Pm: 0.5000 0.0000 0.5000
Pm: 0.0000 0.5000 0.5000
Zr: 0.0000 0.0000 0.0000
P: 0.5000 0.2360 0.2318
P: 0.5000 0.7640 0.7682
P: 0.0000 0.2454 0.7632
P: 0.0000 0.7546 0.2368

Properties
Calculated volume = 180.67 Å³/cell
Formation enthalpy at 0 K = -146.6 kJ/mol of atoms
Space-group type = P2/m, No. 10



No. 6
The following is a GGA-PBE calculation of an optimized crystal structure of Pm2TcP, from Alexandria.

Lattice parameters (Å, degrees): 5.0049 5.0049 5.0049 60.00 60.00 60.00
Atoms (fractional coordinates):
P: 0.0000 0.0000 0.0000
Tc: 0.5000 0.5000 0.5000
Pm: 0.2500 0.2500 0.2500
Pm: 0.7500 0.7500 0.7500

Properties
Calculated volume = 88.65 Å³/cell
Excess energy over the best structure of this formula in the dataset = 0.159 eV/atom
Formation enthalpy at 0 K = -21.2 kJ/mol of atoms
Space-group type = Fm-3m, No. 225